Entry 1:
The following is a DFT calculation (PBE) of a relaxed structure of PPb2Br.

The space group is R3m (No. 160, hexagonal axes) and the conventional cell measures 4.2468, 4.2468 and 23.4295 Å, with angles of 90.00, 90.00 and 120.00 degrees. Symmetry generates all atoms from P at (0.0000, 0.0000, 0.0000), Pb at (0.0000, 0.0000, 0.3977), Pb at (0.0000, 0.0000, 0.5967) and Br at (0.0000, 0.0000, 0.1754).

For the total energy, the calculation gives -47.4 eV/cell. The energy relative to the elements, uncorrected comes out at -0.33 eV per atom. The calculation puts the density of states at the Fermi level at 0.61 states/eV per cell.

Entry 2:
The following is a DFT calculation (PBE) of a relaxed structure of P2PbBr2.

The space group is P4/mbm (No. 127) and the conventional cell measures 8.7550, 8.7550 and 3.2463 Å, with angles of 90.00, 90.00 and 90.00 degrees. Symmetry generates all atoms from P at (0.2210, 0.2790, 0.0000), Pb at (0.0000, 0.0000, 0.5000) and Br at (0.1210, 0.6210, 0.5000).

For the total energy, the calculation gives -29.4 eV/cell. The energy relative to the elements, uncorrected comes out at 0.63 eV per atom. The calculation puts the density of states at the Fermi level at 7.22 states/eV per cell.

Entry 3:
The following is a DFT calculation (PBE) of a relaxed structure of PPb3Br3.

The space group is P2_1/m (No. 11) and the conventional cell measures 8.9249, 4.3531 and 12.4542 Å, with angles of 90.00, 93.62 and 90.00 degrees. Symmetry generates all atoms from P at (0.1304, 0.2500, 0.1274), Pb at (0.0919, 0.2500, 0.8907), Pb at (0.1365, 0.2500, 0.3629), Pb at (0.3510, 0.7500, 0.1291), Br at (0.1067, 0.2500, 0.6307), Br at (0.3660, 0.7500, 0.8807) and Br at (0.3776, 0.7500, 0.3746).

For the total energy, the calculation gives -51.4 eV/cell. The energy relative to the elements, uncorrected comes out at -0.59 eV per atom.

Entry 4:
The following is a DFT calculation (PBE) of a relaxed structure of PPb2Br.

The space group is C2/m (No. 12) and the conventional cell measures 7.4296, 4.2941 and 7.9297 Å, with angles of 90.00, 108.26 and 90.00 degrees. Symmetry generates all atoms from P at (0.0000, 0.0000, 0.0000), Pb at (0.2348, 0.5000, 0.2045) and Br at (0.0000, 0.5000, 0.5000).

For the total energy, the calculation gives -31.8 eV/cell. The energy relative to the elements, uncorrected comes out at -0.35 eV per atom. The calculation puts the density of states at the Fermi level at 0.33 states/eV per cell.

Entry 5:
The following is a DFT calculation (PBE) of a relaxed structure of PPbBr2.

The space group is Pmmm (No. 47) and the conventional cell measures 3.7370, 4.6563 and 6.0704 Å, with angles of 90.00, 90.00 and 90.00 degrees. Symmetry generates all atoms from P at (0.0000, 0.0000, 0.0000), Pb at (0.5000, 0.0000, 0.5000), Br at (0.0000, 0.5000, 0.5000) and Br at (0.5000, 0.5000, 0.0000).

For the total energy, the calculation gives -11.9 eV/cell. The energy relative to the elements, uncorrected comes out at 0.15 eV per atom. The calculation puts the density of states at the Fermi level at 1.86 states/eV per cell.

Entry 6:
The following is a DFT calculation (PBE) of a relaxed structure of PPbBr2.

The space group is P4/mmm (No. 123) and the conventional cell measures 4.8812, 4.8812 and 4.2900 Å, with angles of 90.00, 90.00 and 90.00 degrees. Symmetry generates all atoms from P at (0.0000, 0.0000, 0.0000), Pb at (0.5000, 0.5000, 0.0000) and Br at (0.0000, 0.5000, 0.5000).

For the total energy, the calculation gives -11.3 eV/cell. The energy relative to the elements, uncorrected comes out at 0.29 eV per atom. The calculation puts the density of states at the Fermi level at 2.39 states/eV per cell.

Entry 7:
The following is a DFT calculation (PBE) of a relaxed structure of PPbBr2.

The space group is Immm (No. 71) and the conventional cell measures 3.5985, 5.8948 and 9.7988 Å, with angles of 90.00, 90.00 and 90.00 degrees. Symmetry generates all atoms from P at (0.0000, 0.0000, 0.0000), Pb at (0.0000, 0.0000, 0.5000) and Br at (0.0000, 0.5000, 0.2935).

For the total energy, the calculation gives -24.0 eV/cell. The energy relative to the elements, uncorrected comes out at 0.12 eV per atom. The calculation puts the density of states at the Fermi level at 4.49 states/eV per cell.

Entry 8:
The following is a DFT calculation (PBE) of a relaxed structure of PPbBr2.

The space group is C2/m (No. 12) and the conventional cell measures 15.5869, 4.0178 and 4.1557 Å, with angles of 90.00, 92.76 and 90.00 degrees. Symmetry generates all atoms from P at (0.0000, 0.0000, 0.0000), Pb at (0.0000, 0.5000, 0.5000) and Br at (0.1508, 0.0000, 0.2572).

For the total energy, the calculation gives -26.2 eV/cell. The energy relative to the elements, uncorrected comes out at -0.16 eV per atom. The calculation puts the density of states at the Fermi level at 3.06 states/eV per cell.

Entry 9:
The following is a DFT calculation (PBE) of a relaxed structure of PPb2Br.

The space group is R3m (No. 160, hexagonal axes) and the conventional cell measures 4.1928, 4.1928 and 25.1562 Å, with angles of 90.00, 90.00 and 120.00 degrees. Symmetry generates all atoms from P at (0.0000, 0.0000, 0.0000), Pb at (0.0000, 0.0000, 0.2846), Pb at (0.0000, 0.0000, 0.5215) and Br at (0.0000, 0.0000, 0.7842).

For the total energy, the calculation gives -43.6 eV/cell. The energy relative to the elements, uncorrected comes out at -0.01 eV per atom. The calculation puts the density of states at the Fermi level at 2.04 states/eV per cell.

Entry 10:
The following is a DFT calculation (PBE) of a relaxed structure of PPb2Br.

The space group is Cmmm (No. 65) and the conventional cell measures 5.1923, 5.2058 and 7.9897 Å, with angles of 90.00, 90.00 and 90.00 degrees. Symmetry generates all atoms from P at (0.0000, 0.0000, 0.0000), Pb at (0.0000, 0.5000, 0.2145) and Br at (0.0000, 0.0000, 0.5000).

For the total energy, the calculation gives -30.2 eV/cell. The energy relative to the elements, uncorrected comes out at -0.16 eV per atom. The calculation puts the density of states at the Fermi level at 1.61 states/eV per cell.

Entry 11:
The following is a DFT calculation (PBE) of a relaxed structure of PPbBr2.

The space group is P2/m (No. 10) and the conventional cell measures 5.0120, 4.5273 and 5.0306 Å, with angles of 90.00, 95.71 and 90.00 degrees. Symmetry generates all atoms from P at (0.0000, 0.0000, 0.0000), Pb at (0.5000, 0.0000, 0.5000) and Br at (0.2230, 0.5000, 0.7769).

For the total energy, the calculation gives -12.1 eV/cell. The energy relative to the elements, uncorrected comes out at 0.10 eV per atom. The calculation puts the density of states at the Fermi level at 1.38 states/eV per cell.

Entry 12:
The following is a DFT calculation (PBE) of a relaxed structure of PPbBr2.

The space group is F-43m (No. 216) and the conventional cell measures 7.3903, 7.3903 and 7.3903 Å, with angles of 90.00, 90.00 and 90.00 degrees. Symmetry generates all atoms from P at (0.0000, 0.0000, 0.0000), Pb at (0.2500, 0.2500, 0.2500), Br at (0.0000, 0.0000, 0.5000) and Br at (0.2500, 0.2500, 0.7500).

For the total energy, the calculation gives -44.5 eV/cell. The energy relative to the elements, uncorrected comes out at 0.33 eV per atom. The calculation puts the density of states at the Fermi level at 18.20 states/eV per cell.